Entry 1:
Entry from the Alexandria database: crystalline ScTc2Ir at its relaxed geometry (GGA-PBE).

POSCAR file:
```
ScTc2Ir
1.0
-4.298 -2.459 0.862
-2.211 -4.374 1.115
-0.274 0.319 4.686
Ir Sc Tc
1 1 2
Direct
0.750 0.750 0.750 Ir
0.250 0.250 0.250 Sc
0.016 0.016 0.982 Tc
0.484 0.484 0.518 Tc
```

DOS at the Fermi energy = 4.50 states/eV per cell
Space group = No. 12
E_form = -0.1660 eV per atom
Theoretical density = 11.4 Mg/m³
Energy relative to the lowest polymorph listed for this composition = 26.9 meV per atom

Entry 2:
Entry from the Alexandria database: crystalline Mn5Os at its relaxed geometry (GGA-PBE).

POSCAR file:
```
Mn5Os
1.0
5.820 0.000 0.000
-4.648 3.503 0.000
0.000 0.000 3.583
Mn Os
5 1
Direct
0.804 0.196 0.500 Mn
0.639 0.361 0.000 Mn
0.472 0.528 0.500 Mn
0.306 0.694 0.000 Mn
0.141 0.859 0.500 Mn
0.972 0.028 0.000 Os
```

DOS at the Fermi energy = 7.09 states/eV per cell
Space group = No. 65
E_form = 0.0166 eV per atom
Theoretical density = 10.6 Mg/m³

Entry 3:
Entry from the Alexandria database: crystalline SrCuSi2 at its relaxed geometry (GGA-PBE).

POSCAR file:
```
SrCuSi2
1.0
4.813 0.000 0.000
0.000 4.813 0.000
2.406 2.406 8.039
Sr Si Cu
2 4 2
Direct
0.000 0.000 0.000 Sr
0.750 0.250 0.500 Sr
0.376 0.125 0.250 Si
0.374 0.625 0.250 Si
0.375 0.624 0.750 Si
0.875 0.626 0.750 Si
0.500 0.500 0.000 Cu
0.250 0.750 0.500 Cu
```

Uncorrected formation energy = -157 meV/atom
DOS at the Fermi energy = 2.61 states/eV per cell
Space group = No. 141
Theoretical density = 3.7 Mg/m³

Entry 4:
Entry from the Alexandria database: crystalline La2SmHo7 at its relaxed geometry (GGA-PBE).

POSCAR file:
```
La2SmHo7
1.0
3.518 0.000 0.000
0.000 14.062 -4.801
0.000 -10.629 10.384
La Sm Ho
2 1 7
Direct
0.500 0.706 0.294 La
0.500 0.294 0.706 La
0.000 0.000 0.000 Sm
0.000 0.816 0.184 Ho
0.000 0.184 0.816 Ho
0.500 0.148 0.344 Ho
0.500 0.852 0.656 Ho
0.500 0.344 0.148 Ho
0.500 0.656 0.852 Ho
0.500 0.500 0.500 Ho
```

DOS at the Fermi energy = 18.00 states/eV per cell
Space group = No. 65
E_form = 0.1632 eV per atom
Theoretical density = 7.9 Mg/m³
Energy relative to the lowest polymorph listed for this composition = 137.5 meV per atom

Entry 5:
Entry from the Alexandria database: crystalline Tl4AgF5 at its relaxed geometry (GGA-PBE).

POSCAR file:
```
Tl4AgF5
1.0
5.406 0.000 0.000
2.703 6.282 0.000
2.703 0.000 6.282
Tl Ag F
4 1 5
Direct
0.408 0.388 0.797 Tl
0.796 0.797 0.612 Tl
0.206 0.203 0.388 Tl
0.594 0.612 0.203 Tl
0.001 0.000 0.000 Ag
0.878 0.372 0.873 F
0.250 0.873 0.628 F
0.752 0.127 0.372 F
0.124 0.628 0.127 F
0.501 0.000 0.000 F
```

Uncorrected formation energy = -1573 meV/atom
DOS at the Fermi energy = 0.00 states/eV per cell
Space group = No. 87
Theoretical density = 7.9 Mg/m³

Entry 6:
Entry from the Alexandria database: crystalline La4Pr3Tm at its relaxed geometry (GGA-PBE).

POSCAR file:
```
La4Pr3Tm
1.0
-1.418 -5.048 3.780
-4.116 -2.949 -5.483
9.633 -5.790 -4.118
La Pr Tm
8 6 2
Direct
0.973 0.623 0.000 La
0.484 0.374 0.000 La
0.149 0.373 0.245 La
0.649 0.627 0.255 La
0.984 0.626 0.500 La
0.473 0.377 0.500 La
0.649 0.627 0.745 La
0.149 0.373 0.755 La
0.481 0.874 0.000 Pr
0.148 0.877 0.250 Pr
0.648 0.123 0.250 Pr
0.981 0.126 0.500 Pr
0.648 0.123 0.750 Pr
0.148 0.877 0.750 Pr
0.982 0.121 0.000 Tm
0.482 0.879 0.500 Tm
```

DOS at the Fermi energy = 27.54 states/eV per cell
Space group = No. 31
E_form = 0.0319 eV per atom
Theoretical density = 6.6 Mg/m³
Energy relative to the lowest polymorph listed for this composition = 0.0 meV per atom

Entry 7:
Entry from the Alexandria database: crystalline AgSnPtO4 at its relaxed geometry (GGA-PBE).

POSCAR file:
```
AgSnPtO4
1.0
-2.510 -1.769 -5.547
4.856 -3.753 2.624
-5.837 -0.162 2.693
Ag Sn Pt O
2 2 2 8
Direct
0.857 0.714 0.107 Ag
0.143 0.286 0.893 Ag
0.500 0.000 0.500 Sn
0.500 0.000 0.000 Sn
0.500 0.500 0.500 Pt
0.000 0.500 0.500 Pt
0.718 0.436 0.672 O
0.286 0.004 0.252 O
0.718 0.004 0.252 O
0.718 0.436 0.264 O
0.282 0.564 0.736 O
0.714 0.996 0.748 O
0.282 0.996 0.748 O
0.282 0.564 0.328 O
```

Uncorrected formation energy = -734 meV/atom
DOS at the Fermi energy = 2.32 states/eV per cell
Space group = No. 74
Theoretical density = 8.0 Mg/m³

Entry 8:
Entry from the Alexandria database: crystalline Sr2Sn3Rh4Pb at its relaxed geometry (GGA-PBE).

POSCAR file:
```
Sr2Sn3Rh4Pb
1.0
4.623 0.000 0.000
0.000 4.623 0.000
0.000 0.000 10.809
Sr Sn Rh Pb
2 3 4 1
Direct
0.500 0.000 0.241 Sr
0.000 0.500 0.759 Sr
0.000 0.000 0.500 Sn
0.500 0.000 0.877 Sn
0.000 0.500 0.123 Sn
0.500 0.500 0.000 Rh
0.000 0.000 0.000 Rh
0.500 0.000 0.634 Rh
0.000 0.500 0.366 Rh
0.500 0.500 0.500 Pb
```

DOS at the Fermi energy = 4.08 states/eV per cell
Space group = No. 115
E_form = -0.5598 eV per atom
Theoretical density = 8.3 Mg/m³

Entry 9:
Entry from the Alexandria database: crystalline MgCrFe2 at its relaxed geometry (GGA-PBE).

POSCAR file:
```
MgCrFe2
1.0
-6.462 -0.661 -5.698
-6.807 -2.955 -4.426
-7.881 -0.736 -3.466
Cr Fe Mg
1 2 1
Direct
0.750 0.750 0.750 Cr
0.007 0.007 0.007 Fe
0.493 0.493 0.493 Fe
0.250 0.250 0.250 Mg
```

DOS at the Fermi energy = 4.52 states/eV per cell
Space group = No. 166
E_form = 0.3370 eV per atom
Theoretical density = 6.1 Mg/m³

Entry 10:
Entry from the Alexandria database: crystalline ErMgSc4 at its relaxed geometry (GGA-PBE).

POSCAR file:
```
ErMgSc4
1.0
5.600 0.416 -0.978
2.287 5.128 -0.978
-0.812 -0.571 11.081
Er Mg Sc
2 2 8
Direct
0.500 0.000 0.500 Er
0.000 0.500 0.000 Er
0.075 0.925 0.250 Mg
0.925 0.075 0.750 Mg
0.253 0.418 0.749 Sc
0.169 0.663 0.497 Sc
0.831 0.337 0.503 Sc
0.418 0.253 0.249 Sc
0.582 0.747 0.751 Sc
0.337 0.831 0.003 Sc
0.663 0.169 0.997 Sc
0.747 0.582 0.251 Sc
```

DOS at the Fermi energy = 23.89 states/eV per cell
Space group = No. 15
E_form = 0.0581 eV per atom
Theoretical density = 4.1 Mg/m³
Energy relative to the lowest polymorph listed for this composition = 45.9 meV per atom